Computed, not measured: La2TaPt after structural relaxation at the PBE level of DFT.

abc: 7.6979 7.7689 3.3249
angles: 90.00 90.00 90.00
With the nearest neighbours (Å) after each atom.
Atoms (fractional coordinates):
La 0.2500 0.2500 0.0000  4 Ta 3.20, 4 Pt 3.20, 2 La 3.32
La 0.2500 0.7500 0.0000  4 Pt 3.20, 4 Ta 3.20, 2 La 3.32
La 0.7500 0.2500 0.0000  4 Pt 3.20, 4 Ta 3.20, 2 La 3.32
La 0.7500 0.7500 0.0000  4 Ta 3.20, 4 Pt 3.20, 2 La 3.32
Ta 0.0000 0.0000 0.5000  8 La 3.20, 2 Ta 3.32
Ta 0.5000 0.5000 0.5000  8 La 3.20, 2 Ta 3.32
Pt 0.0000 0.5000 0.5000  8 La 3.20, 2 Pt 3.32
Pt 0.5000 0.0000 0.5000  8 La 3.20, 2 Pt 3.32

crystal system = orthorhombic
energy above the most stable polymorph in this dataset = 0.2004 eV/atom
volume = 24.9 Å³ per atom
symmetry = Cmmm (65)
formation energy = -0.056 eV per atom

---

Computed, not measured: La2TaPt after structural relaxation at the PBE level of DFT.

abc: 4.2984 4.6666 11.0681
angles: 90.00 90.00 90.00
With the nearest neighbours (Å) after each atom.
Atoms (fractional coordinates):
La 0.0000 0.0000 0.0000  3 Pt 3.10-3.37, 4 Ta 3.35
La 0.0000 0.5000 0.5000  3 Pt 3.10-3.37, 4 Ta 3.35
La 0.5000 0.0000 0.3058  3 Ta 3.22-3.28, 4 Pt 3.31
La 0.5000 0.5000 0.8058  3 Ta 3.22-3.28, 4 Pt 3.31
Ta 0.5000 0.0000 0.5970  2 Pt 2.54
Ta 0.5000 0.5000 0.0970  2 Pt 2.54
Pt 0.0000 0.0000 0.7200  2 Ta 2.54
Pt 0.0000 0.5000 0.2200  2 Ta 2.54

crystal system = orthorhombic
energy above the most stable polymorph in this dataset = 0.0000 eV/atom
volume = 27.8 Å³ per atom
symmetry = Amm2 (38)
formation energy = -0.257 eV per atom

---

Computed, not measured: LaTaPt4 after structural relaxation at the PBE level of DFT.

abc: 5.4091 5.4091 5.4091
angles: 60.00 60.00 60.00
With the nearest neighbours (Å) after each atom.
Atoms (fractional coordinates):
La 0.0000 0.0000 0.0000  12 Pt 3.17, 4 Ta 3.31
Ta 0.2500 0.2500 0.2500  12 Pt 3.17, 4 La 3.31
Pt 0.1273 0.6242 0.6242  6 Pt 2.69-2.72
Pt 0.6242 0.1273 0.6242  6 Pt 2.69-2.72
Pt 0.6242 0.6242 0.1273  6 Pt 2.69-2.72
Pt 0.6242 0.6242 0.6242  6 Pt 2.69-2.72

crystal system = cubic
volume = 18.7 Å³ per atom
symmetry = F-43m (216)
formation energy = -0.478 eV per atom

---

Computed, not measured: La4Ta2Pt after structural relaxation at the PBE level of DFT.

abc: 5.7474 5.7474 14.0082
angles: 90.00 90.00 90.00
With the nearest neighbours (Å) after each atom.
Atoms (fractional coordinates):
La 0.0000 0.0000 0.2066  1 Ta 2.81, 1 Pt 2.89
La 0.0000 0.0000 0.7934  1 Ta 2.81, 1 Pt 2.89
La 0.0000 0.5000 0.0000  2 Pt 2.87, 4 Ta 3.15
La 0.0000 0.5000 0.5000  2 Pt 2.87, 4 Ta 3.15
La 0.5000 0.0000 0.0000  2 Pt 2.87, 4 Ta 3.15
La 0.5000 0.0000 0.5000  2 Pt 2.87, 4 Ta 3.15
La 0.5000 0.5000 0.2934  1 Ta 2.81, 1 Pt 2.89
La 0.5000 0.5000 0.7066  1 Ta 2.81, 1 Pt 2.89
Ta 0.0000 0.0000 0.4072  1 Ta 2.60, 1 La 2.81
Ta 0.0000 0.0000 0.5928  1 Ta 2.60, 1 La 2.81
Ta 0.5000 0.5000 0.0928  1 Ta 2.60, 1 La 2.81
Ta 0.5000 0.5000 0.9072  1 Ta 2.60, 1 La 2.81
Pt 0.0000 0.0000 0.0000  6 La 2.87-2.89
Pt 0.5000 0.5000 0.5000  6 La 2.87-2.89

crystal system = tetragonal
volume = 33.1 Å³ per atom
symmetry = I4/mmm (139)
formation energy = 0.375 eV per atom

---

Values for M_tot, μB/f.u., ordered as above
0.0, 0.0, 0.7, 0.0